Version 1
DFT (PBEsol) results for Ag5Pt6 after structural relaxation.

Output
Space group: C2/m (12)
ρ: 16.547 g cm⁻³
Total magnetization: 0.00 Bohr magnetons per cell

a b c (Å): 6.4101 6.4101 11.7048
angles (deg): 120.87 120.87 24.79
Closest atoms and distances in Å follow each position.
Positions (direct):
Ag1 0.0000 0.0000 0.0000  6 Ag 2.75-2.85, 6 Pt 2.81-2.82
Ag2 0.0900 0.0900 0.6355  4 Ag 2.75-2.76, 8 Pt 2.84-2.85
Ag3 0.2691 0.2691 0.9063  7 Ag 2.75-2.85, 5 Pt 2.85-2.87
Ag4 0.7309 0.7309 0.0937  7 Ag 2.75-2.85, 5 Pt 2.85-2.87
Ag5 0.9100 0.9100 0.3645  4 Ag 2.75-2.76, 8 Pt 2.84-2.85
Pt1 0.1808 0.1808 0.2762  7 Pt 2.74-2.77, 5 Ag 2.81-2.87
Pt2 0.3607 0.3607 0.5452  8 Pt 2.75-2.77, 4 Ag 2.84-2.85
Pt3 0.4609 0.4609 0.1849  5 Pt 2.74-2.75, 7 Ag 2.82-2.86
Pt4 0.5391 0.5391 0.8151  5 Pt 2.74-2.75, 7 Ag 2.82-2.86
Pt5 0.6393 0.6393 0.4548  8 Pt 2.75-2.77, 4 Ag 2.84-2.85
Pt6 0.8192 0.8192 0.7238  7 Pt 2.74-2.77, 5 Ag 2.81-2.87

Version 2
DFT (PBEsol) results for Ag5Pt6 after structural relaxation.

Output
Space group: Cm (8)
ρ: 16.589 g cm⁻³
Total magnetization: 0.00 Bohr magnetons per cell

a b c (Å): 7.4430 7.4430 6.2332
angles (deg): 103.22 103.22 30.68
Closest atoms and distances in Å follow each position.
Positions (direct):
Ag1 0.0000 0.0000 0.0000  5 Ag 2.76-2.77, 7 Pt 2.80-2.89
Ag2 0.1805 0.1805 0.9155  5 Ag 2.76-2.83, 7 Pt 2.79-2.87
Ag3 0.4548 0.4548 0.2721  3 Ag 2.77-2.83, 9 Pt 2.80-2.83
Ag4 0.5435 0.5435 0.7288  6 Ag 2.76-2.83, 6 Pt 2.79-2.94
Ag5 0.7255 0.7255 0.6452  9 Pt 2.75-2.83, 3 Ag 2.77-2.78
Pt1 0.0893 0.0893 0.4524  4 Pt 2.74-2.83, 8 Ag 2.80-2.87
Pt2 0.2730 0.2730 0.3660  8 Pt 2.75-2.81, 4 Ag 2.81-2.82
Pt3 0.3616 0.3616 0.8176  5 Pt 2.77-2.80, 7 Ag 2.79-2.84
Pt4 0.6418 0.6418 0.2000  5 Pt 2.74-2.77, 7 Ag 2.75-2.94
Pt5 0.8184 0.8184 0.0920  6 Pt 2.77-2.80, 6 Ag 2.79-2.82
Pt6 0.9052 0.9052 0.5441  6 Pt 2.77-2.83, 6 Ag 2.80-2.85

Stability summary: most stable version 1, least stable version 2.

Version 1
DFT (PBEsol) results for Ag7Pt4 after structural relaxation.

Output
Space group: Cm (8)
ρ: 14.636 g cm⁻³
Total magnetization: 0.00 Bohr magnetons per cell

a b c (Å): 6.3460 6.3460 11.6719
angles (deg): 119.48 119.48 25.42
Closest atoms and distances in Å follow each position.
Positions (direct):
Ag1 0.0000 0.0000 0.0000  7 Ag 2.74-2.84, 5 Pt 2.84-2.90
Ag2 0.0890 0.0890 0.6306  9 Ag 2.79-2.87, 3 Pt 2.81-2.85
Ag3 0.1766 0.1766 0.2647  6 Ag 2.74-2.84, 6 Pt 2.82-2.86
Ag4 0.2703 0.2703 0.9010  7 Ag 2.79-2.86, 5 Pt 2.81-2.86
Ag5 0.3607 0.3607 0.5387  8 Ag 2.79-2.85, 4 Pt 2.82
Ag6 0.5401 0.5401 0.8147  9 Ag 2.79-2.87, 3 Pt 2.80-2.81
Ag7 0.6311 0.6311 0.4474  8 Ag 2.79-2.85, 4 Pt 2.79-2.82
Pt1 0.4465 0.4465 0.1793  6 Pt 2.73-2.79, 6 Ag 2.79-2.86
Pt2 0.7280 0.7280 0.0838  5 Pt 2.73-2.80, 7 Ag 2.81-2.86
Pt3 0.8147 0.8147 0.7195  2 Pt 2.79, 10 Ag 2.80-2.90
Pt4 0.9039 0.9039 0.3561  5 Pt 2.75-2.80, 7 Ag 2.82-2.85

Version 2
DFT (PBEsol) results for Ag7Pt4 after structural relaxation.

Output
Space group: P1 (1)
ρ: 14.639 g cm⁻³
Total magnetization: 0.00 Bohr magnetons per cell

a b c (Å): 4.8217 4.8877 7.5272
angles (deg): 96.00 90.93 98.98
Closest atoms and distances in Å follow each position.
Positions (direct):
Ag1 0.0000 0.0000 0.0000  4 Pt 2.77-2.84, 8 Ag 2.80-2.86
Ag2 0.0876 0.5444 0.1861  9 Ag 2.78-2.87, 3 Pt 2.81-2.88
Ag3 0.1805 0.0970 0.3663  7 Ag 2.78-2.86, 5 Pt 2.79-2.88
Ag4 0.4555 0.7233 0.9101  6 Pt 2.76-2.86, 6 Ag 2.79-2.87
Ag5 0.6309 0.8189 0.2717  8 Ag 2.78-2.85, 4 Pt 2.82-2.87
Ag6 0.7230 0.3689 0.4536  6 Ag 2.78-2.85, 6 Pt 2.80-2.87
Ag7 0.9070 0.4494 0.8165  6 Ag 2.79-2.87, 6 Pt 2.80-2.83
Pt1 0.2754 0.6482 0.5555  4 Pt 2.71-2.84, 8 Ag 2.76-2.88
Pt2 0.3608 0.1731 0.7247  5 Pt 2.71-2.84, 7 Ag 2.79-2.86
Pt3 0.5411 0.2702 0.0846  11 Ag 2.77-2.88, 1 Pt 2.80
Pt4 0.8178 0.9092 0.6347  4 Pt 2.75-2.78, 8 Ag 2.81-2.86

Stability summary: most stable version 1, least stable version 2.

Version 1
DFT (PBEsol) results for Ag5Pt after structural relaxation.

Output
Space group: Cmmm (65)
ρ: 12.564 g cm⁻³
Total magnetization: 0.00 Bohr magnetons per cell

a b c (Å): 4.0380 11.9788 4.0135
angles (deg): 90.00 90.00 90.00
Closest atoms and distances in Å follow each position.
Positions (direct):
Ag1 0.0000 0.0000 0.0000  8 Ag 2.82-2.83, 4 Pt 2.85
Ag2 0.0000 0.1657 0.5000  10 Ag 2.82-2.86, 2 Pt 2.83
Ag3 0.0000 0.3350 0.0000  2 Pt 2.82, 10 Ag 2.83-2.87
Ag4 0.0000 0.6650 0.0000  2 Pt 2.82, 10 Ag 2.83-2.87
Ag5 0.0000 0.8343 0.5000  10 Ag 2.82-2.86, 2 Pt 2.83
Ag6 0.5000 0.1650 0.0000  2 Pt 2.82, 10 Ag 2.83-2.87
Ag7 0.5000 0.3343 0.5000  10 Ag 2.82-2.86, 2 Pt 2.83
Ag8 0.5000 0.5000 0.0000  8 Ag 2.82-2.83, 4 Pt 2.85
Ag9 0.5000 0.6657 0.5000  10 Ag 2.82-2.86, 2 Pt 2.83
Ag10 0.5000 0.8350 0.0000  2 Pt 2.82, 10 Ag 2.83-2.87
Pt1 0.0000 0.5000 0.5000  12 Ag 2.82-2.85
Pt2 0.5000 0.0000 0.5000  12 Ag 2.82-2.85

Version 2
DFT (PBEsol) results for Ag5Pt after structural relaxation.

Output
Space group: Amm2 (38)
ρ: 12.535 g cm⁻³
Total magnetization: 0.00 Bohr magnetons per cell

a b c (Å): 4.6759 2.8322 14.6927
angles (deg): 90.00 90.00 90.00
Closest atoms and distances in Å follow each position.
Positions (direct):
Ag1 0.0000 0.0000 0.0000  8 Ag 2.80-2.86, 4 Pt 2.84
Ag2 0.0000 0.0000 0.3312  12 Ag 2.83-2.86
Ag3 0.0000 0.0000 0.6644  10 Ag 2.80-2.85, 2 Pt 2.85
Ag4 0.0000 0.5000 0.1644  10 Ag 2.80-2.85, 2 Pt 2.85
Ag5 0.0000 0.5000 0.5000  8 Ag 2.80-2.86, 4 Pt 2.84
Ag6 0.0000 0.5000 0.8312  12 Ag 2.83-2.86
Ag7 0.5000 0.0000 0.2193  2 Pt 2.82, 10 Ag 2.83-2.86
Ag8 0.5000 0.0000 0.8885  2 Pt 2.81, 10 Ag 2.83-2.86
Ag9 0.5000 0.5000 0.3885  2 Pt 2.81, 10 Ag 2.83-2.86
Ag10 0.5000 0.5000 0.7193  2 Pt 2.82, 10 Ag 2.83-2.86
Pt1 0.5000 0.0000 0.5533  10 Ag 2.81-2.85, 2 Pt 2.83
Pt2 0.5000 0.5000 0.0533  10 Ag 2.81-2.85, 2 Pt 2.83

Version 3
DFT (PBEsol) results for Ag5Pt after structural relaxation.

Output
Space group: P6/mmm (191)
ρ: 11.295 g cm⁻³
Total magnetization: 0.00 Bohr magnetons per cell

a b c (Å): 5.1761 5.1761 4.6535
angles (deg): 90.00 90.00 120.00
Closest atoms and distances in Å follow each position.
Positions (direct):
Ag1 0.0000 0.5000 0.0000  8 Ag 2.59-2.77
Ag2 0.3333 0.6667 0.5000  9 Ag 2.77-2.99, 3 Pt 2.99
Ag3 0.5000 0.0000 0.0000  8 Ag 2.59-2.77
Ag4 0.5000 0.5000 0.0000  8 Ag 2.59-2.77
Ag5 0.6667 0.3333 0.5000  9 Ag 2.77-2.99, 3 Pt 2.99
Pt1 0.0000 0.0000 0.5000  6 Ag 2.99

Stability summary: most stable version 1, least stable version 3.

Version 1
DFT (PBEsol) results for ReAgPt2 after structural relaxation.

Output
Space group: P4/mmm (123)
ρ: 18.786 g cm⁻³
Total magnetization: 0.00 Bohr magnetons per cell

a b c (Å): 2.7536 2.7536 7.9766
angles (deg): 90.00 90.00 90.00
Closest atoms and distances in Å follow each position.
Positions (direct):
Re1 0.0000 0.0000 0.0000  8 Pt 2.70, 4 Re 2.75
Ag1 0.0000 0.0000 0.5000  4 Ag 2.75, 8 Pt 2.88
Pt1 0.5000 0.5000 0.2336  4 Re 2.70, 4 Pt 2.75, 4 Ag 2.88
Pt2 0.5000 0.5000 0.7664  4 Re 2.70, 4 Pt 2.75, 4 Ag 2.88

Version 2
DFT (PBEsol) results for ReAgPt2 after structural relaxation.

Output
Space group: P4/mmm (123)
ρ: 18.837 g cm⁻³
Total magnetization: 0.00 Bohr magnetons per cell

a b c (Å): 3.9283 3.9283 3.9087
angles (deg): 90.00 90.00 90.00
Closest atoms and distances in Å follow each position.
Positions (direct):
Re1 0.0000 0.0000 0.0000  8 Pt 2.77, 4 Ag 2.78
Ag1 0.5000 0.5000 0.0000  8 Pt 2.77, 4 Re 2.78
Pt1 0.0000 0.5000 0.5000  4 Ag 2.77, 4 Re 2.77, 4 Pt 2.78
Pt2 0.5000 0.0000 0.5000  4 Ag 2.77, 4 Re 2.77, 4 Pt 2.78

Stability summary: most stable version 1, least stable version 2.